# LiTlNiF4 PBE with a Hubbard U optimized geometry
# Total energy (eV per atom): -4.23
data_LiTlNiF4
_chemical_formula_sum 'Li2 Tl2 Ni2 F8'
_symmetry_space_group_name_H-M 'P 1 21/m 1'
_symmetry_Int_Tables_number 11
_cell_length_a 5.3220
_cell_length_b 5.4734
_cell_length_c 7.2384
_cell_angle_alpha 90.00
_cell_angle_beta 96.64
_cell_angle_gamma 90.00
loop_
_symmetry_equiv_pos_as_xyz
'x,y,z'
'-x,-y,-z'
'-x,y+1/2,-z'
'x,-y+1/2,z'
loop_
_atom_site_label
_atom_site_fract_x
_atom_site_fract_y
_atom_site_fract_z
_atom_site_occupancy
Li1 0.1496 0.2500 0.3327 1
Tl1 0.2855 0.2500 0.8843 1
Ni1 0.3325 0.7500 0.5555 1
F1 0.0254 0.2500 0.5664 1
F2 0.1733 0.7500 0.7950 1
F3 0.4068 0.0068 0.3286 1